The following is a DFT calculation (PBE) of crystalline Li2BiO at its relaxed geometry.

Unit cell a=4.528 b=4.528 c=4.528 alpha=60.00 beta=60.00 gamma=60.00
Sites, in units of the cell vectors:
Bi (0.500, 0.500, 0.500)
Li (0.250, 0.250, 0.250)
Li (0.750, 0.750, 0.750)
O (0.000, 0.000, 0.000)

Calculated values
SG = Fm-3m
Energy above the lowest structure with this stoichiometry = 969.3 meV per atom
Formation energy (no corrections) = -51 kJ/mol of formula units